Model a:
SmYZnCo after structural relaxation, computed with PBE-GGA.

extended XYZ file:
```
4
Lattice="3.905 0.000 0.000 0.000 4.297 0.000 -1.953 0.000 5.325" Properties=species:S:1:pos:R:3 pbc="T T T"
Sm 0.000 0.000 1.497
Y 1.953 2.149 3.826
Zn 1.953 2.149 0.678
Co 0.000 0.000 4.649
```

Calculated values
Theoretical density (g cm⁻³): 6.76
Total magnetic moment (μB/atom): 0.0000
Space group: No. 38

***

Model b:
SmYZnCo after structural relaxation, computed with PBE-GGA.

extended XYZ file:
```
4
Lattice="-3.584 1.971 2.765 -1.678 -2.423 3.961 1.017 1.674 4.532" Properties=species:S:1:pos:R:3 pbc="T T T"
Y -3.184 0.917 8.443
Zn 0.000 0.000 0.000
Co -2.122 0.611 5.629
Sm -1.061 0.306 2.814
```

Calculated values
Theoretical density (g cm⁻³): 7.10
Total magnetic moment (μB/atom): 0.0002
Space group: No. 216

***

Verdict on stability: model a comes out on top.